! Rb4Pu3AgSe8 | Alexandria | PBE | relaxed; values from VASP
! E_form (uncorrected)   -19.26 eV/f.u.
! Raw total energy   -6.05 eV/atom
! Total moment   0.81 μB/atom
&SYSTEM
  ibrav = 0, nat = 16, ntyp = 4
/
ATOMIC_SPECIES
Se 78.96 Se.upf
Rb 85.47 Rb.upf
Ag 107.87 Ag.upf
Pu 244.00 Pu.upf
ATOMIC_POSITIONS angstrom
Se -1.107 5.079 4.547
Se -1.717 2.377 1.822
Rb -3.457 -2.508 0.014
Ag 0.924 -1.248 4.399
Rb 0.000 0.000 0.000
Rb -0.396 4.177 -0.807
Se -0.728 1.033 5.332
Se -4.751 -4.236 2.665
Pu -2.533 -3.756 4.414
Pu -2.929 0.421 3.606
Se -5.130 -0.191 1.880
Se -4.460 2.647 4.561
Rb -3.853 1.670 -0.793
Se -4.141 -1.534 5.390
Pu 0.528 2.929 3.592
Se -1.398 -1.804 2.651
CELL_PARAMETERS angstrom
-6.914 -5.015 0.028
1.847 -2.497 8.799
-0.791 8.355 -1.615

---

! Rb2Pu2AgSe6 | Alexandria | PBE | relaxed; values from VASP
! E_form (uncorrected)   -11.51 eV/f.u.
! Raw total energy   -5.99 eV/atom
! Total moment   0.63 μB/atom
&SYSTEM
  ibrav = 0, nat = 11, ntyp = 4
/
ATOMIC_SPECIES
Se 78.96 Se.upf
Pu 244.00 Pu.upf
Ag 107.87 Ag.upf
Rb 85.47 Rb.upf
ATOMIC_POSITIONS angstrom
Se -4.916 -2.692 2.276
Se -6.224 -1.891 -1.445
Se -5.827 1.308 0.966
Se -4.036 0.033 -4.168
Se -3.126 -3.966 -2.857
Pu -4.911 0.581 -1.572
Pu -4.041 -3.240 -0.319
Ag -3.591 -0.078 2.256
Rb 0.005 -5.158 -1.921
Se -2.728 -0.768 -0.447
Rb -1.775 2.656 -4.482
CELL_PARAMETERS angstrom
-2.195 4.501 -5.087
0.425 -7.003 -1.316
-7.182 -0.157 4.511

---

! Rb3Pu2AgSe6 | Alexandria | PBE | relaxed; values from VASP
! E_form (uncorrected)   -13.51 eV/f.u.
! Raw total energy   -5.74 eV/atom
! Total moment   0.67 μB/atom
&SYSTEM
  ibrav = 0, nat = 12, ntyp = 4
/
ATOMIC_SPECIES
Ag 107.87 Ag.upf
Se 78.96 Se.upf
Pu 244.00 Pu.upf
Rb 85.47 Rb.upf
ATOMIC_POSITIONS angstrom
Ag 0.000 0.000 0.000
Se -0.112 4.254 6.391
Se 0.049 0.085 6.423
Se -1.286 2.221 1.552
Se 2.405 4.165 1.520
Pu 3.680 2.112 0.007
Rb -2.532 4.296 3.972
Rb 1.227 2.125 3.972
Se 3.740 2.029 6.391
Se 2.566 -0.004 1.552
Rb 4.987 -0.046 3.972
Pu -0.010 4.244 0.007
CELL_PARAMETERS angstrom
7.354 -0.009 0.007
-3.683 6.365 0.007
-1.216 -2.106 7.929

---

! RbPuAgTe2 | Alexandria | PBE | relaxed; values from VASP
! E_form (uncorrected)   -3.41 eV/f.u.
! Raw total energy   -5.57 eV/atom
! Total moment   1.20 μB/atom
&SYSTEM
  ibrav = 0, nat = 10, ntyp = 4
/
ATOMIC_SPECIES
Rb 85.47 Rb.upf
Ag 107.87 Ag.upf
Pu 244.00 Pu.upf
Te 127.60 Te.upf
ATOMIC_POSITIONS angstrom
Rb -0.082 -4.741 4.677
Ag 0.000 0.000 0.000
Pu -3.756 0.724 4.391
Pu -2.594 -1.354 2.305
Rb 0.895 -0.121 5.423
Te 3.487 -2.827 4.761
Ag -1.162 2.078 2.086
Te 0.478 -1.748 2.006
Te -2.673 -2.034 5.339
Te 0.336 -3.114 8.094
CELL_PARAMETERS angstrom
-4.026 -4.785 2.523
7.164 -4.232 3.405
-2.324 4.155 4.172

---

! RbPu2AgTe4 | Alexandria | PBE | relaxed; values from VASP
! E_form (uncorrected)   -7.17 eV/f.u.
! Raw total energy   -6.53 eV/atom
! Total moment   1.25 μB/atom
&SYSTEM
  ibrav = 0, nat = 16, ntyp = 4
/
ATOMIC_SPECIES
Pu 244.00 Pu.upf
Ag 107.87 Ag.upf
Rb 85.47 Rb.upf
Te 127.60 Te.upf
ATOMIC_POSITIONS angstrom
Pu 0.000 5.662 8.931
Ag 2.275 5.207 11.852
Rb 2.275 5.819 3.951
Te 0.000 0.000 0.000
Te 2.275 3.613 9.546
Te 0.000 4.051 6.257
Pu 2.275 2.002 6.871
Rb 0.000 1.845 11.852
Pu 0.000 5.662 14.772
Te 2.275 3.613 14.158
Ag 0.000 2.457 3.951
Te 0.000 6.794 11.852
Te 0.000 0.000 7.901
Te 0.000 4.051 1.644
Pu 2.275 2.002 1.030
Te 2.275 0.870 3.951
CELL_PARAMETERS angstrom
4.551 0.000 0.000
-2.275 7.664 0.000
0.000 0.000 15.802

---

! Rb3Pu2AgTe6 | Alexandria | PBE | relaxed; values from VASP
! E_form (uncorrected)   -10.00 eV/f.u.
! Raw total energy   -5.27 eV/atom
! Total moment   0.66 μB/atom
&SYSTEM
  ibrav = 0, nat = 12, ntyp = 4
/
ATOMIC_SPECIES
Te 127.60 Te.upf
Rb 85.47 Rb.upf
Pu 244.00 Pu.upf
Ag 107.87 Ag.upf
ATOMIC_POSITIONS angstrom
Te -6.304 -5.202 -0.385
Rb 0.455 -6.231 2.592
Rb -2.878 -4.046 0.333
Pu 1.687 -3.880 -1.634
Te 0.547 -2.890 1.051
Te -2.964 -7.391 1.878
Te -4.681 -3.535 3.487
Ag 0.000 0.000 0.000
Te -2.792 -0.701 -1.212
Te -1.076 -4.558 -2.821
Pu -1.619 -1.713 -3.875
Rb -6.212 -1.861 -1.926
CELL_PARAMETERS angstrom
-4.916 0.449 -6.110
4.984 -6.042 0.601
-5.825 -2.500 6.175

---

! Pu2ReAg | Alexandria | PBE | relaxed; values from VASP
! Formation enthalpy at 0 K   0.36 eV/f.u.
! Raw total energy   -10.90 eV/atom
! Total moment   2.51 μB/atom
&SYSTEM
  ibrav = 0, nat = 4, ntyp = 3
/
ATOMIC_SPECIES
Re 186.21 Re.upf
Pu 244.00 Pu.upf
Ag 107.87 Ag.upf
ATOMIC_POSITIONS angstrom
Re -1.106 -1.059 1.660
Pu 1.561 -0.118 0.965
Ag 2.466 -1.328 3.869
Pu 5.585 -0.422 3.453
CELL_PARAMETERS angstrom
-1.555 0.931 2.629
-0.657 -3.048 0.691
7.145 -0.540 4.418

---

! PuAgRh4 | Alexandria | PBE | relaxed; values from VASP
! Formation enthalpy at 0 K   -1.05 eV/f.u.
! Raw total energy   -7.94 eV/atom
! Total moment   0.69 μB/atom
&SYSTEM
  ibrav = 0, nat = 6, ntyp = 3
/
ATOMIC_SPECIES
Rh 102.91 Rh.upf
Ag 107.87 Ag.upf
Pu 244.00 Pu.upf
ATOMIC_POSITIONS angstrom
Rh 3.938 3.796 2.684
Rh 6.575 3.796 2.684
Ag 0.000 0.000 0.000
Rh 5.257 3.035 0.531
Pu 2.628 1.517 1.073
Rh 5.257 1.512 2.684
CELL_PARAMETERS angstrom
5.257 0.000 0.000
2.628 4.552 0.000
2.628 1.517 4.292

---

! Pu2AgRh | Alexandria | PBE | relaxed; values from VASP
! Formation enthalpy at 0 K   0.70 eV/f.u.
! Raw total energy   -9.54 eV/atom
! Total moment   2.47 μB/atom
&SYSTEM
  ibrav = 0, nat = 4, ntyp = 3
/
ATOMIC_SPECIES
Ag 107.87 Ag.upf
Pu 244.00 Pu.upf
Rh 102.91 Rh.upf
ATOMIC_POSITIONS angstrom
Ag 0.000 0.000 0.000
Pu 1.465 0.846 7.915
Pu 4.396 2.538 3.047
Rh 2.931 1.692 5.481
CELL_PARAMETERS angstrom
2.931 0.000 0.000
1.465 2.538 0.000
1.465 0.846 10.962

---

! Pu8AgRh4 | Alexandria | PBE | relaxed; values from VASP
! Formation enthalpy at 0 K   -1.14 eV/f.u.
! Raw total energy   -11.39 eV/atom
! Total moment   3.43 μB/atom
&SYSTEM
  ibrav = 0, nat = 13, ntyp = 3
/
ATOMIC_SPECIES
Pu 244.00 Pu.upf
Rh 102.91 Rh.upf
Ag 107.87 Ag.upf
ATOMIC_POSITIONS angstrom
Pu 5.693 -6.885 0.303
Rh 1.471 -4.794 2.498
Rh 1.971 -1.959 2.653
Pu 3.636 -6.679 3.176
Rh 2.464 -1.772 -2.356
Ag 0.000 0.000 0.000
Pu 2.176 -6.247 -0.019
Pu 4.260 -3.798 2.082
Pu 1.446 -3.188 0.023
Pu 4.233 -6.453 -2.892
Rh 1.964 -4.607 -2.511
Pu 4.611 -3.664 -1.487
Pu 6.424 -9.944 0.261
CELL_PARAMETERS angstrom
-1.001 -5.670 -0.310
4.928 -3.544 -4.712
3.942 -3.918 5.306

---

! PuAgRh2 | Alexandria | PBE | relaxed; values from VASP
! Formation enthalpy at 0 K   -0.67 eV/f.u.
! Raw total energy   -8.14 eV/atom
! Total moment   1.05 μB/atom
&SYSTEM
  ibrav = 0, nat = 4, ntyp = 3
/
ATOMIC_SPECIES
Ag 107.87 Ag.upf
Rh 102.91 Rh.upf
Pu 244.00 Pu.upf
ATOMIC_POSITIONS angstrom
Ag 0.616 -3.856 0.076
Rh 3.026 -3.247 -1.344
Rh 0.993 -1.065 -0.441
Pu -1.394 -1.700 0.969
CELL_PARAMETERS angstrom
-0.223 -1.472 3.054
-2.565 -1.929 -1.117
4.019 -4.312 -1.785

---

! Pu8AgRh6 | Alexandria | PBE | relaxed; values from VASP
! Formation enthalpy at 0 K   -1.45 eV/f.u.
! Raw total energy   -10.87 eV/atom
! Total moment   0.77 μB/atom
&SYSTEM
  ibrav = 0, nat = 15, ntyp = 3
/
ATOMIC_SPECIES
Pu 244.00 Pu.upf
Rh 102.91 Rh.upf
Ag 107.87 Ag.upf
ATOMIC_POSITIONS angstrom
Pu -0.522 3.680 7.310
Pu -0.144 7.264 5.270
Rh -3.487 4.557 6.424
Rh 1.062 8.315 7.171
Pu 1.395 4.355 6.062
Pu -2.061 6.589 6.518
Rh -2.437 4.840 3.845
Rh 2.821 6.388 6.156
Rh -1.729 2.629 5.409
Pu -0.662 5.846 8.299
Ag 0.000 0.000 0.000
Rh 1.770 6.104 8.735
Pu -0.005 5.099 4.281
Pu -1.395 1.925 2.556
Pu 0.729 9.019 10.024
CELL_PARAMETERS angstrom
-3.596 4.398 1.448
-2.573 0.069 5.267
5.503 6.477 5.865